No. 1
## SrTlBi2 (PBE)

Data for an optimized crystal structure of SrTlBi2.

Output
SG: No. 123
Energy relative to the lowest polymorph listed for this composition: 0.00 eV/f.u.
VASP energy: -3.410 eV/atom
E_form: -0.46 eV per atom

abc: 5.0584 5.0584 5.0836
angles: 90.00 90.00 90.00
Element x y z (fractional)
Sr  0.0000  0.0000  0.0000
Tl  0.5000  0.5000  0.0000
Bi  0.0000  0.5000  0.5000
Bi  0.5000  0.0000  0.5000

***

No. 2
## SrTlBi (PBE)

Data for an optimized crystal structure of SrTlBi.

Output
SG: No. 107
Energy relative to the lowest polymorph listed for this composition: 0.28 eV/f.u.
VASP energy: -3.068 eV/atom
E_form: -0.43 eV per atom

abc: 5.9302 5.9302 5.9302
angles: 133.63 133.63 67.67
Element x y z (fractional)
Sr  0.0000  0.0000  0.0000
Tl  0.6755  0.6755  0.0000
Bi  0.3473  0.3473  0.0000

***

No. 3
## Sr2TlBi4 (PBE)

Data for an optimized crystal structure of Sr2TlBi4.

Output
SG: No. 139
VASP energy: -3.520 eV/atom
E_form: -0.48 eV per atom

abc: 7.1504 7.1504 7.1504
angles: 122.38 122.38 85.92
Element x y z (fractional)
Sr  0.0000  0.5000  0.5000
Sr  0.5000  0.0000  0.5000
Tl  0.0000  0.0000  0.0000
Bi  0.0000  0.0000  0.5000
Bi  0.0000  0.5000  0.0000
Bi  0.5000  0.0000  0.0000
Bi  0.5000  0.5000  0.5000

***

No. 4
## SrTlBi2 (PBE)

Data for an optimized crystal structure of SrTlBi2.

Output
SG: No. 122
Energy relative to the lowest polymorph listed for this composition: 0.79 eV/f.u.
VASP energy: -3.214 eV/atom
E_form: -0.26 eV per atom

abc: 7.3073 7.3073 7.3073
angles: 102.49 102.49 124.57
Element x y z (fractional)
Sr  0.0000  0.0000  0.0000
Sr  0.7500  0.2500  0.5000
Tl  0.2500  0.7500  0.5000
Tl  0.5000  0.5000  0.0000
Bi  0.1496  0.6250  0.0246
Bi  0.3750  0.3996  0.5246
Bi  0.6004  0.1250  0.9754
Bi  0.8750  0.8504  0.4754

***

No. 5
## SrTlBi (PBE)

Data for an optimized crystal structure of SrTlBi.

Output
SG: No. 216
Energy relative to the lowest polymorph listed for this composition: 0.28 eV/f.u.
VASP energy: -3.067 eV/atom
E_form: -0.42 eV per atom

abc: 5.6522 5.6522 5.6522
angles: 60.00 60.00 60.00
Element x y z (fractional)
Sr  0.0000  0.0000  0.0000
Tl  0.5000  0.5000  0.5000
Bi  0.2500  0.2500  0.2500

***

No. 6
## SrTlBi2 (PBE)

Data for an optimized crystal structure of SrTlBi2.

Output
SG: No. 225
Energy relative to the lowest polymorph listed for this composition: 0.73 eV/f.u.
VASP energy: -3.228 eV/atom
E_form: -0.28 eV per atom

abc: 5.7803 5.7803 5.7803
angles: 60.00 60.00 60.00
Element x y z (fractional)
Sr  0.0000  0.0000  0.0000
Tl  0.5000  0.5000  0.5000
Bi  0.2500  0.2500  0.2500
Bi  0.7500  0.7500  0.7500

***

No. 7
## Sr4Tl4Bi5 (PBE)

Data for an optimized crystal structure of Sr4Tl4Bi5.

Output
SG: No. 87
VASP energy: -3.168 eV/atom
E_form: -0.43 eV per atom

abc: 9.6950 9.6950 9.6950
angles: 93.82 93.82 150.09
Element x y z (fractional)
Sr  0.1255  0.2224  0.3478
Sr  0.2224  0.8745  0.0969
Sr  0.7776  0.1255  0.9031
Sr  0.8745  0.7776  0.6522
Tl  0.0838  0.5979  0.6817
Tl  0.4021  0.0838  0.4859
Tl  0.5979  0.9162  0.5141
Tl  0.9162  0.4021  0.3183
Bi  0.0000  0.0000  0.0000
Bi  0.2929  0.4436  0.7364
Bi  0.4436  0.7071  0.1507
Bi  0.5564  0.2929  0.8493
Bi  0.7071  0.5564  0.2636

***

No. 8
## SrTl12Bi6 (PBE)

Data for an optimized crystal structure of SrTl12Bi6.

Output
SG: No. 204
VASP energy: -2.844 eV/atom
E_form: -0.04 eV per atom

abc: 9.4048 9.4048 9.4048
angles: 109.47 109.47 109.47
Element x y z (fractional)
Sr  0.0000  0.0000  0.0000
Tl  0.0653  0.8045  0.2608
Tl  0.1955  0.2608  0.4563
Tl  0.1955  0.7392  0.9347
Tl  0.2608  0.0653  0.8045
Tl  0.2608  0.4563  0.1955
Tl  0.4563  0.1955  0.2608
Tl  0.5437  0.8045  0.7392
Tl  0.7392  0.5437  0.8045
Tl  0.7392  0.9347  0.1955
Tl  0.8045  0.2608  0.0653
Tl  0.8045  0.7392  0.5437
Tl  0.9347  0.1955  0.7392
Bi  0.1428  0.6428  0.5000
Bi  0.3572  0.5000  0.8572
Bi  0.5000  0.1428  0.6428
Bi  0.5000  0.8572  0.3572
Bi  0.6428  0.5000  0.1428
Bi  0.8572  0.3572  0.5000

***

No. 9
## SrTlBi (PBE)

Data for an optimized crystal structure of SrTlBi.

Output
SG: No. 12
Energy relative to the lowest polymorph listed for this composition: 0.10 eV/f.u.
VASP energy: -3.128 eV/atom
E_form: -0.49 eV per atom

abc: 6.6247 6.6247 8.3254
angles: 116.19 116.19 42.01
Element x y z (fractional)
Sr  0.0627  0.0627  0.3135
Sr  0.9373  0.9373  0.6865
Tl  0.3418  0.3418  0.9241
Tl  0.6582  0.6582  0.0759
Bi  0.3519  0.3519  0.3237
Bi  0.6481  0.6481  0.6763

***

No. 10
## SrTlBi3 (PBE)

Data for an optimized crystal structure of SrTlBi3.

Output
SG: No. 221
Energy relative to the lowest polymorph listed for this composition: 0.00 eV/f.u.
VASP energy: -2.909 eV/atom
E_form: 0.23 eV per atom

abc: 5.8860 5.8860 5.8860
angles: 90.00 90.00 90.00
Element x y z (fractional)
Sr  0.0000  0.0000  0.0000
Tl  0.5000  0.5000  0.5000
Bi  0.0000  0.5000  0.5000
Bi  0.5000  0.0000  0.5000
Bi  0.5000  0.5000  0.0000

***

No. 11
## SrTlBi2 (PBE)

Data for an optimized crystal structure of SrTlBi2.

Output
SG: No. 160
Energy relative to the lowest polymorph listed for this composition: 0.79 eV/f.u.
VASP energy: -3.214 eV/atom
E_form: -0.26 eV per atom

abc: 6.7824 6.7824 6.7824
angles: 47.91 47.91 47.91
Element x y z (fractional)
Sr  0.0000  0.0000  0.0000
Tl  0.8088  0.8088  0.8088
Bi  0.4008  0.4008  0.4008
Bi  0.5697  0.5697  0.5697

***

No. 12
## SrTl14Bi (PBE)

Data for an optimized crystal structure of SrTl14Bi.

Output
SG: No. 38
VASP energy: -2.489 eV/atom
E_form: -0.07 eV per atom

abc: 11.4362 7.1493 7.1493
angles: 58.96 90.00 90.00
Element x y z (fractional)
Sr  0.0000  0.0000  0.0000
Tl  0.0000  0.0103  0.4941
Tl  0.0000  0.4941  0.0103
Tl  0.2426  0.6647  0.6647
Tl  0.2562  0.1644  0.6578
Tl  0.2562  0.6578  0.1644
Tl  0.2584  0.1627  0.1627
Tl  0.5000  0.3225  0.3225
Tl  0.5000  0.3257  0.8232
Tl  0.5000  0.8218  0.8218
Tl  0.5000  0.8232  0.3257
Tl  0.7416  0.1627  0.1627
Tl  0.7438  0.1644  0.6578
Tl  0.7438  0.6578  0.1644
Tl  0.7574  0.6647  0.6647
Bi  0.0000  0.4997  0.4997